The following is a DFT calculation (PBE) of an optimized crystal structure of Ho2ErTm4Pu.

Computed properties:
Total moment = 6.17 μB per formula unit
Calculated formation energy = 0.064 eV per atom
Energy = -0.209 hartree per atom
DOS(E_F) = 17.39 states/eV per cell
Crystal system = tetragonal

```
data_Ho2ErTm4Pu
_chemical_formula_sum 'Ho2 Er1 Tm4 Pu1'
_space_group_name_H-M_alt 'P 4/m m m'
_space_group_IT_number 123
_space_group_name_Hall '-P 4 2'
_cell_length_a 4.9319
_cell_length_b 4.9319
_cell_length_c 9.8404
_cell_angle_alpha 90.00
_cell_angle_beta 90.00
_cell_angle_gamma 90.00
loop_
_atom_site_label
_atom_site_fract_x
_atom_site_fract_y
_atom_site_fract_z
Ho1 0.0000 0.0000 0.0000
Ho2 0.5000 0.5000 0.5000
Er1 0.0000 0.0000 0.5000
Tm1 0.0000 0.5000 0.2460
Pu1 0.5000 0.5000 0.0000
```

=====

The following is a DFT calculation (PBE) of an optimized crystal structure of KSn3Au.

Computed properties:
Total moment = 0.00 μB per formula unit
Calculated formation energy = -0.277 eV per atom
Distance to the lowest polymorph of the same formula = 0.000 eV/f.u.
Energy = -0.131 hartree per atom
DOS(E_F) = 2.14 states/eV per cell
Crystal system = monoclinic

```
data_KSn3Au
_chemical_formula_sum 'K2 Sn6 Au2'
_space_group_name_H-M_alt 'C 1 m 1'
_space_group_IT_number 8
_cell_length_a 6.9682
_cell_length_b 6.9723
_cell_length_c 6.9244
_cell_angle_alpha 90.00
_cell_angle_beta 120.10
_cell_angle_gamma 90.00
loop_
_space_group_symop_operation_xyz
'x,y,z'
'x,-y,z'
'x+1/2,y+1/2,z'
'x+1/2,-y+1/2,z'
loop_
_atom_site_label
_atom_site_fract_x
_atom_site_fract_y
_atom_site_fract_z
K1 0.0000 0.0000 0.0000
Sn1 0.0082 0.2497 0.5167
Sn2 0.1052 0.5000 0.2103
Au1 0.3753 0.0000 0.7516
```

=====

The following is a DFT calculation (PBE) of an optimized crystal structure of CuPWCl2.

Computed properties:
Energy relative to the elements, uncorrected = 1.09 eV/atom
Total moment = 3.05 μB per formula unit
Distance to the lowest polymorph of the same formula = 2.866 eV/f.u.
Energy = -0.152 hartree per atom
DOS(E_F) = 5.45 states/eV per cell
Crystal system = tetragonal

```
data_CuPWCl2
_chemical_formula_sum 'Cu1 P1 W1 Cl2'
_space_group_name_H-M_alt 'P 4/m m m'
_space_group_IT_number 123
_space_group_name_Hall '-P 4 2'
_cell_length_a 4.2793
_cell_length_b 4.2793
_cell_length_c 5.7960
_cell_angle_alpha 90.00
_cell_angle_beta 90.00
_cell_angle_gamma 90.00
loop_
_atom_site_label
_atom_site_fract_x
_atom_site_fract_y
_atom_site_fract_z
Cu1 0.0000 0.0000 0.0000
P1 0.0000 0.0000 0.5000
W1 0.5000 0.5000 0.5000
Cl1 0.0000 0.5000 0.0000
```

=====

The following is a DFT calculation (PBE) of an optimized crystal structure of Ti2CdFe2.

Computed properties:
Total moment = 1.67 μB per formula unit
Calculated formation energy = 0.205 eV per atom
Energy = -0.240 hartree per atom
DOS(E_F) = 5.66 states/eV per cell
Crystal system = tetragonal

```
data_Ti2CdFe2
_chemical_formula_sum 'Ti4 Cd2 Fe4'
_space_group_name_H-M_alt 'I 4/m m m'
_space_group_IT_number 139
_space_group_name_Hall '-I 4 2'
_cell_length_a 3.4336
_cell_length_b 3.4336
_cell_length_c 14.2199
_cell_angle_alpha 90.00
_cell_angle_beta 90.00
_cell_angle_gamma 90.00
loop_
_atom_site_label
_atom_site_fract_x
_atom_site_fract_y
_atom_site_fract_z
Ti1 0.0000 0.0000 0.1250
Cd1 0.0000 0.0000 0.5000
Fe1 0.0000 0.5000 0.2500
```

=====

The following is a DFT calculation (PBE) of an optimized crystal structure of AgMo4.

Computed properties:
Total moment = 0.00 μB per formula unit
Calculated formation energy = 0.864 eV per atom
Distance to the lowest polymorph of the same formula = 2.070 eV/f.u.
Energy = -0.308 hartree per atom
DOS(E_F) = 8.26 states/eV per cell
Crystal system = tetragonal

```
data_AgMo4
_chemical_formula_sum 'Ag2 Mo8'
_space_group_name_H-M_alt 'I 4/m m m'
_space_group_IT_number 139
_space_group_name_Hall '-I 4 2'
_cell_length_a 4.1482
_cell_length_b 4.1482
_cell_length_c 11.1050
_cell_angle_alpha 90.00
_cell_angle_beta 90.00
_cell_angle_gamma 90.00
loop_
_atom_site_label
_atom_site_fract_x
_atom_site_fract_y
_atom_site_fract_z
Ag1 0.0000 0.0000 0.0000
Mo1 0.0000 0.0000 0.3824
Mo2 0.0000 0.5000 0.2500
```